Pr2Y7Er (PBE, relaxed); symmetry = P-1 (2)
1.0
6.219 0.000 0.000
-1.024 6.136 0.000
-3.109 -2.621 8.589
Pr Y Er
2 7 1
Cartesian
0.000 -0.510 1.730
2.085 4.025 6.859
-2.061 1.235 6.003
0.005 -1.568 5.143
1.042 2.809 0.870
3.110 0.000 0.000
1.043 0.706 7.719
2.080 5.083 3.446
4.147 2.280 2.586
1.043 1.757 4.294

=====

PrY2Er5 (PBE, relaxed); symmetry = P-1 (2)
1.0
7.088 0.000 0.000
-0.040 8.693 0.000
-3.513 -2.896 8.196
Pr Y Er
2 4 10
Cartesian
-0.888 1.427 3.585
4.423 4.370 4.611
0.859 7.230 2.543
0.873 4.354 4.618
2.662 1.443 3.578
2.676 -1.433 5.654
-2.645 1.461 6.697
0.885 1.454 0.498
-0.865 -1.431 5.666
-0.886 4.357 7.693
2.645 4.353 1.514
0.890 1.445 6.682
4.421 1.440 0.504
4.400 7.228 2.530
2.650 4.343 7.699
6.180 4.336 1.499

=====

PrY2Er (PBE, relaxed); symmetry = R3m (160)
1.0
1.806 1.042 11.630
-1.806 1.042 11.630
0.000 -2.085 11.630
Pr Y Er
1 2 1
Cartesian
0.000 0.000 0.000
0.000 0.000 20.256
0.000 0.000 26.218
0.000 0.000 5.786

=====

Pr4YEr2 (PBE, relaxed); symmetry = Imma (74)
1.0
-3.465 5.759 6.099
3.465 -5.759 6.099
3.465 5.759 -6.099
Pr Y Er
8 2 4
Cartesian
0.000 0.033 1.828
1.533 2.879 -0.118
1.932 -2.879 5.980
3.465 0.033 4.271
0.000 5.726 1.828
1.533 8.638 0.118
1.932 2.879 6.217
3.465 5.726 4.271
-1.733 2.879 3.049
1.733 2.879 3.049
3.465 0.000 0.000
3.465 2.879 -2.651
0.000 0.000 6.099
0.000 2.879 8.749

=====

For reference, total magnetization by record: 0.0, 0.0, 0.0, 0.0 μB per formula unit.
For reference, Fermi-level density of states by record: 1.4836, 1.3974, 1.4648, 1.4638 states/eV/atom.
For reference, VASP energy by record: -59.163, -80.667, -22.183, -65.897 eV/cell.